1:
The following is a DFT calculation (GGA-PBE) of an optimized crystal structure of NaLaMg14.

Output
V, Å³/cell: 398
Magnetization, μB per cell: 0.00
Symmetry: No. 38

Unit cell a=6.681 b=6.681 c=10.509 alpha=90.00 beta=90.00 gamma=122.05
Positions (direct):
Na 0.334 0.666 0.500
La 0.826 0.174 0.500
Mg 0.831 0.169 0.000
Mg 0.331 0.669 0.000
Mg 0.330 0.180 0.500
Mg 0.331 0.163 0.000
Mg 0.820 0.670 0.500
Mg 0.837 0.669 0.000
Mg 0.171 0.327 0.239
Mg 0.171 0.327 0.761
Mg 0.673 0.829 0.239
Mg 0.673 0.829 0.761
Mg 0.667 0.333 0.243
Mg 0.667 0.333 0.757
Mg 0.169 0.831 0.256
Mg 0.169 0.831 0.744


2:
The following is a DFT calculation (GGA-PBE) of an optimized crystal structure of NaLaMg14.

Output
V, Å³/cell: 399
Magnetization, μB per cell: 0.00
Symmetry: No. 187

Unit cell a=6.644 b=6.644 c=10.444 alpha=90.00 beta=90.00 gamma=120.00
Positions (direct):
Na 0.000 0.000 0.500
La 0.000 0.000 0.000
Mg 0.014 0.507 0.000
Mg 0.000 0.500 0.500
Mg 0.493 0.986 0.000
Mg 0.500 0.000 0.500
Mg 0.493 0.507 0.000
Mg 0.500 0.500 0.500
Mg 0.171 0.829 0.253
Mg 0.171 0.829 0.747
Mg 0.171 0.341 0.253
Mg 0.171 0.341 0.747
Mg 0.659 0.829 0.253
Mg 0.659 0.829 0.747
Mg 0.667 0.333 0.240
Mg 0.667 0.333 0.760


Relative to the most stable one, in meV per atom, the structures come out at 1 23; 2 0.


1:
The following is a DFT calculation (GGA-PBE) of an optimized crystal structure of La2MgNb2.

Output
V, Å³/cell: 141
Magnetization, μB per cell: 0.00
Symmetry: No. 139

Unit cell a=4.388 b=4.388 c=7.933 alpha=73.94 beta=73.94 gamma=90.00
Positions (direct):
Nb 0.424 0.424 0.152
Nb 0.576 0.576 0.848
Mg 0.000 0.000 0.000
La 0.750 0.250 0.500
La 0.250 0.750 0.500


2:
The following is a DFT calculation (GGA-PBE) of an optimized crystal structure of La2MgNb2.

Output
V, Å³/cell: 269
Magnetization, μB per cell: 0.00
Symmetry: No. 127

Unit cell a=7.683 b=7.683 c=4.555 alpha=90.00 beta=90.00 gamma=90.00
Positions (direct):
Nb 0.381 0.881 0.000
Nb 0.881 0.619 0.000
Nb 0.619 0.119 0.000
Nb 0.119 0.381 0.000
Mg 0.000 0.000 0.000
Mg 0.500 0.500 0.000
La 0.178 0.678 0.500
La 0.678 0.822 0.500
La 0.822 0.322 0.500
La 0.322 0.178 0.500


Relative to the most stable one, in meV per atom, the structures come out at 1 472; 2 0.


1:
The following is a DFT calculation (GGA-PBE) of an optimized crystal structure of LaMg6Nb.

Output
V, Å³/cell: 190
Magnetization, μB per cell: 0.46
Symmetry: No. 38

Unit cell a=6.761 b=6.761 c=5.169 alpha=90.00 beta=90.00 gamma=126.50
Positions (direct):
La 0.819 0.181 0.500
Mg 0.828 0.680 0.500
Mg 0.320 0.172 0.500
Mg 0.662 0.816 0.000
Mg 0.184 0.338 0.000
Mg 0.653 0.347 0.000
Mg 0.195 0.805 0.000
Nb 0.339 0.661 0.500


2:
The following is a DFT calculation (GGA-PBE) of an optimized crystal structure of LaMg6Nb.

Output
V, Å³/cell: 189
Magnetization, μB per cell: 0.00
Symmetry: No. 38

Unit cell a=6.635 b=6.635 c=5.059 alpha=90.00 beta=90.00 gamma=121.91
Positions (direct):
La 0.198 0.802 0.000
Mg 0.670 0.812 0.000
Mg 0.188 0.330 0.000
Mg 0.667 0.333 0.000
Mg 0.814 0.673 0.500
Mg 0.327 0.186 0.500
Mg 0.824 0.176 0.500
Nb 0.312 0.688 0.500


Relative to the most stable one, in meV per atom, the structures come out at 1 12; 2 0.


1:
The following is a DFT calculation (GGA-PBE) of an optimized crystal structure of La8Nd2Mg.

Output
V, Å³/cell: 396
Magnetization, μB per cell: 0.00
Symmetry: No. 12

Unit cell a=5.745 b=9.045 c=9.184 alpha=117.50 beta=108.23 gamma=90.00
Positions (direct):
La 0.579 0.431 0.158
La 0.320 0.064 0.640
La 0.123 0.162 0.246
La 0.071 0.719 0.143
La 0.877 0.838 0.754
La 0.680 0.936 0.360
La 0.421 0.569 0.842
La 0.929 0.281 0.857
Nd 0.234 0.606 0.468
Nd 0.766 0.394 0.532
Mg 0.500 0.000 0.000


2:
The following is a DFT calculation (GGA-PBE) of an optimized crystal structure of La8Nd2Mg.

Output
V, Å³/cell: 405
Magnetization, μB per cell: 0.00
Symmetry: No. 123

Unit cell a=5.259 b=5.259 c=14.650 alpha=90.00 beta=90.00 gamma=90.00
Positions (direct):
La 0.000 0.500 0.500
La 0.500 0.000 0.500
La 0.500 0.500 0.321
La 0.500 0.500 0.679
La 0.000 0.500 0.143
La 0.500 0.000 0.143
La 0.000 0.500 0.857
La 0.500 0.000 0.857
Nd 0.000 0.000 0.316
Nd 0.000 0.000 0.684
Mg 0.000 0.000 0.000


Relative to the most stable one, in meV per atom, the structures come out at 1 0; 2 34.


1:
The following is a DFT calculation (GGA-PBE) of an optimized crystal structure of La7Nd3Mg.

Output
V, Å³/cell: 405
Magnetization, μB per cell: 0.00
Symmetry: No. 156

Unit cell a=8.851 b=7.271 c=7.271 alpha=120.00 beta=90.00 gamma=90.00
Positions (direct):
La 0.116 0.167 0.833
La 0.116 0.167 0.334
La 0.119 0.667 0.333
La 0.451 0.832 0.168
La 0.451 0.337 0.168
La 0.451 0.832 0.663
La 0.116 0.666 0.833
Nd 0.783 0.501 0.499
Nd 0.783 0.501 0.003
Nd 0.783 0.997 0.499
Mg 0.448 0.333 0.667


2:
The following is a DFT calculation (GGA-PBE) of an optimized crystal structure of La7Nd3Mg.

Output
V, Å³/cell: 408
Magnetization, μB per cell: 0.00
Symmetry: No. 12

Unit cell a=6.604 b=7.880 c=7.880 alpha=83.89 beta=90.07 gamma=90.07
Positions (direct):
La 0.206 0.240 0.240
La 0.272 0.894 0.550
La 0.728 0.450 0.106
La 0.272 0.550 0.894
La 0.000 0.500 0.500
La 0.728 0.106 0.450
La 0.794 0.760 0.760
Nd 0.000 0.834 0.166
Nd 0.500 0.000 0.000
Nd 0.000 0.166 0.834
Mg 0.500 0.500 0.500


Relative to the most stable one, in meV per atom, the structures come out at 1 0; 2 47.


1:
The following is a DFT calculation (GGA-PBE) of an optimized crystal structure of La2NdMg.

Output
V, Å³/cell: 268
Magnetization, μB per cell: 0.00
Symmetry: No. 139

Unit cell a=5.378 b=5.378 c=10.001 alpha=105.60 beta=105.60 gamma=89.96
Positions (direct):
La 0.865 0.865 0.229
La 0.135 0.135 0.771
La 0.500 0.000 0.500
La 0.000 0.500 0.500
Nd 0.362 0.362 0.223
Nd 0.638 0.638 0.777
Mg 0.250 0.750 0.000
Mg 0.750 0.250 0.000


2:
The following is a DFT calculation (GGA-PBE) of an optimized crystal structure of La2NdMg.

Output
V, Å³/cell: 135
Magnetization, μB per cell: 0.00
Symmetry: No. 123

Unit cell a=3.822 b=3.822 c=9.263 alpha=90.00 beta=90.00 gamma=90.00
Positions (direct):
Mg 0.500 0.500 0.000
Nd 0.500 0.500 0.500
La 0.000 0.000 0.771
La 0.000 0.000 0.229


Relative to the most stable one, in meV per atom, the structures come out at 1 0; 2 5.


1:
The following is a DFT calculation (GGA-PBE) of an optimized crystal structure of La2NdMg.

Output
V, Å³/cell: 135
Magnetization, μB per cell: 0.00
Symmetry: No. 225

Unit cell a=5.756 b=5.756 c=5.756 alpha=60.00 beta=60.00 gamma=60.00
Positions (direct):
Mg 0.500 0.500 0.500
Nd 0.000 0.000 0.000
La 0.250 0.250 0.250
La 0.750 0.750 0.750


2:
The following is a DFT calculation (GGA-PBE) of an optimized crystal structure of La2NdMg.

Output
V, Å³/cell: 132
Magnetization, μB per cell: 0.00
Symmetry: No. 123

Unit cell a=5.028 b=5.131 c=5.131 alpha=90.00 beta=90.00 gamma=90.00
Positions (direct):
Mg 0.500 0.000 0.000
Nd 0.500 0.500 0.500
La 0.000 0.000 0.500
La 0.000 0.500 0.000


Relative to the most stable one, in meV per atom, the structures come out at 1 44; 2 0.


1:
The following is a DFT calculation (GGA-PBE) of an optimized crystal structure of La6NdMg.

Output
V, Å³/cell: 280
Magnetization, μB per cell: 0.00
Symmetry: No. 123

Unit cell a=5.194 b=5.194 c=10.370 alpha=90.00 beta=90.00 gamma=90.00
Positions (direct):
La 0.500 0.500 0.000
La 0.500 0.500 0.500
La 0.500 0.000 0.247
La 0.500 0.000 0.753
La 0.000 0.500 0.247
La 0.000 0.500 0.753
Nd 0.000 0.000 0.500
Mg 0.000 0.000 0.000


2:
The following is a DFT calculation (GGA-PBE) of an optimized crystal structure of La6NdMg.

Output
V, Å³/cell: 305
Magnetization, μB per cell: 0.00
Symmetry: No. 2

Unit cell a=7.117 b=7.124 c=8.024 alpha=64.04 beta=64.44 gamma=60.06
Positions (direct):
La 0.057 0.456 0.760
La 0.725 0.053 0.759
La 0.542 0.272 0.239
La 0.275 0.947 0.241
La 0.943 0.544 0.240
La 0.458 0.728 0.761
Nd 0.500 0.500 0.500
Mg 0.000 0.000 0.000


Relative to the most stable one, in meV per atom, the structures come out at 1 0; 2 442.


1:
The following is a DFT calculation (GGA-PBE) of an optimized crystal structure of La2Nd6Mg.

Output
V, Å³/cell: 315
Magnetization, μB per cell: 0.00
Symmetry: No. 187

Unit cell a=3.655 b=3.655 c=27.221 alpha=90.00 beta=90.00 gamma=120.00
Positions (direct):
La 0.667 0.333 0.327
La 0.667 0.333 0.673
Nd 0.667 0.333 0.898
Nd 0.333 0.667 0.437
Nd 0.333 0.667 0.789
Nd 0.333 0.667 0.211
Nd 0.333 0.667 0.563
Nd 0.667 0.333 0.102
Mg 0.333 0.667 0.000


2:
The following is a DFT calculation (GGA-PBE) of an optimized crystal structure of La2Nd6Mg.

Output
V, Å³/cell: 619
Magnetization, μB per cell: 0.00
Symmetry: No. 15

Unit cell a=6.550 b=12.549 c=12.549 alpha=117.35 beta=67.47 gamma=67.47
Positions (direct):
La 0.359 0.475 0.769
La 0.141 0.231 0.525
La 0.641 0.525 0.231
La 0.859 0.769 0.475
Nd 0.364 0.711 0.634
Nd 0.136 0.366 0.289
Nd 0.636 0.289 0.366
Nd 0.864 0.634 0.711
Nd 0.878 0.003 0.404
Nd 0.622 0.596 0.997
Nd 0.122 0.997 0.596
Nd 0.378 0.404 0.003
Nd 0.076 0.869 0.020
Nd 0.424 0.980 0.131
Nd 0.924 0.131 0.980
Nd 0.576 0.020 0.869
Mg 0.250 0.216 0.784
Mg 0.750 0.784 0.216


Relative to the most stable one, in meV per atom, the structures come out at 1 0; 2 9.


1:
The following is a DFT calculation (GGA-PBE) of an optimized crystal structure of La2Nd8Mg.

Output
V, Å³/cell: 380
Magnetization, μB per cell: 0.00
Symmetry: No. 12

Unit cell a=5.205 b=8.154 c=9.654 alpha=104.79 beta=105.64 gamma=90.00
Positions (direct):
La 0.774 0.364 0.549
La 0.226 0.636 0.451
Nd 0.411 0.553 0.822
Nd 0.679 0.908 0.359
Nd 0.864 0.822 0.728
Nd 0.956 0.276 0.911
Nd 0.136 0.178 0.272
Nd 0.321 0.092 0.641
Nd 0.589 0.447 0.178
Nd 0.044 0.724 0.089
Mg 0.500 0.000 0.000


2:
The following is a DFT calculation (GGA-PBE) of an optimized crystal structure of La2Nd8Mg.

Output
V, Å³/cell: 389
Magnetization, μB per cell: 0.00
Symmetry: No. 71

Unit cell a=5.733 b=7.820 c=9.944 alpha=113.15 beta=106.75 gamma=90.00
Positions (direct):
La 0.195 0.695 0.390
La 0.805 0.305 0.610
Nd 0.634 0.854 0.267
Nd 0.366 0.587 0.733
Nd 0.172 0.172 0.344
Nd 0.000 0.263 0.000
Nd 0.828 0.828 0.656
Nd 0.634 0.413 0.267
Nd 0.366 0.146 0.733
Nd 0.000 0.737 0.000
Mg 0.500 0.000 0.000


Relative to the most stable one, in meV per atom, the structures come out at 1 0; 2 85.


1:
The following is a DFT calculation (GGA-PBE) of an optimized crystal structure of La2Nd5Mg.

Output
V, Å³/cell: 272
Magnetization, μB per cell: 0.00
Symmetry: No. 139

Unit cell a=7.246 b=7.246 c=7.290 alpha=119.81 beta=119.80 gamma=90.00
Positions (direct):
La 0.222 0.722 0.444
La 0.722 0.222 0.444
Nd 0.722 0.222 0.944
Nd 0.222 0.222 0.944
Nd 0.722 0.722 0.944
Nd 0.222 0.722 0.944
Nd 0.722 0.722 0.444
Mg 0.222 0.222 0.445


2:
The following is a DFT calculation (GGA-PBE) of an optimized crystal structure of La2Nd5Mg.

Output
V, Å³/cell: 552
Magnetization, μB per cell: 0.00
Symmetry: No. 15

Unit cell a=14.590 b=14.590 c=13.644 alpha=39.99 beta=39.99 gamma=77.27
Positions (direct):
La 0.500 0.000 0.000
La 0.500 0.500 0.000
La 0.500 0.500 0.500
La 0.000 0.500 0.500
Nd 0.614 0.386 0.750
Nd 0.386 0.614 0.250
Nd 0.336 0.699 0.853
Nd 0.827 0.940 0.096
Nd 0.699 0.336 0.353
Nd 0.060 0.173 0.404
Nd 0.940 0.827 0.596
Nd 0.173 0.060 0.904
Nd 0.301 0.664 0.647
Nd 0.664 0.301 0.147
Mg 0.853 0.147 0.250
Mg 0.147 0.853 0.750


Relative to the most stable one, in meV per atom, the structures come out at 1 0; 2 169.